No. 1
The following is a PBE calculation of crystalline Li2AlBr at its relaxed geometry, from Alexandria via LeMat-Bulk.

Unit cell a=3.3132 b=6.2223 c=8.8588 alpha=90.00 beta=90.00 gamma=90.00
Space group Immm (No. 71)
One atom of each set of equivalent atoms:
Li: 0.0000 0.0000 0.2184 (multiplicity 4)
Al: 0.0000 0.5000 0.0000 (multiplicity 2)
Br: 0.0000 0.5000 0.5000 (multiplicity 2)

Its size of the total moment is 0.00 μB per formula unit. The calculation puts the formation energy from raw total energies at -0.3256 eV per atom.

No. 2
The following is a PBE calculation of crystalline LiAl2Br at its relaxed geometry, from Alexandria via LeMat-Bulk.

Unit cell a=5.2177 b=5.2177 c=3.1897 alpha=90.00 beta=90.00 gamma=90.00
Space group P4/mmm (No. 123)
One atom of each set of equivalent atoms:
Li: 0.0000 0.0000 0.0000 (multiplicity 1)
Al: 0.0000 0.5000 0.5000 (multiplicity 2)
Br: 0.5000 0.5000 0.0000 (multiplicity 1)

Its size of the total moment is 0.00 μB per formula unit. The calculation puts the formation energy from raw total energies at 0.1102 eV per atom.

No. 3
The following is a PBE calculation of crystalline Li2AlBr at its relaxed geometry, from Alexandria via LeMat-Bulk.

Unit cell a=4.9027 b=4.9027 c=3.3811 alpha=90.00 beta=90.00 gamma=90.00
Space group P4/mmm (No. 123)
One atom of each set of equivalent atoms:
Li: 0.0000 0.5000 0.0000 (multiplicity 2)
Al: 0.0000 0.0000 0.5000 (multiplicity 1)
Br: 0.5000 0.5000 0.5000 (multiplicity 1)

Its size of the total moment is 0.00 μB per formula unit. The calculation puts the formation energy from raw total energies at -0.3007 eV per atom.